No. 1
A plane-wave DFT calculation with PBE was carried out for a relaxed Ca5GaAu4 crystal.

Results
- Formation energy: -0.7128 eV per atom
- Calculated volume: 24.29 A^3/atom
- Total DFT energy (no corrections): -33.3 eV/cell
- Total magnetization: 0.00 μB per atom

Cell lengths 3.6677, 3.6677, 18.0567 Å; angles 90.00, 90.00, 90.00 degrees
With the nearest neighbours (Å) after each atom.
Fractional coordinates of all 10 atoms:
Ca (0.0000, 0.0000, 0.0000)  8 Au 3.16
Ca (0.0000, 0.0000, 0.1988)  8 Au 3.15-3.17
Ca (0.0000, 0.0000, 0.3978)  4 Au 3.14, 4 Ga 3.18
Ca (0.0000, 0.0000, 0.6022)  4 Au 3.14, 4 Ga 3.18
Ca (0.0000, 0.0000, 0.8012)  8 Au 3.15-3.17
Ga (0.5000, 0.5000, 0.5000)  8 Ca 3.18
Au (0.5000, 0.5000, 0.0995)  8 Ca 3.15-3.16
Au (0.5000, 0.5000, 0.2997)  8 Ca 3.14-3.17
Au (0.5000, 0.5000, 0.7003)  8 Ca 3.14-3.17
Au (0.5000, 0.5000, 0.9005)  8 Ca 3.15-3.16

---

No. 2
A plane-wave DFT calculation with PBE was carried out for a relaxed Mg3Cd2In2Ag4 crystal.

Results
- Formation energy: -0.0844 eV per atom
- Calculated volume: 20.74 A^3/atom
- Total DFT energy (no corrections): -24.4 eV/cell
- Total magnetization: 0.00 μB per atom

Cell lengths 4.7992, 4.7992, 11.4395 Å; angles 90.00, 90.00, 120.00 degrees
With the nearest neighbours (Å) after each atom.
Fractional coordinates of all 11 atoms:
Mg (0.0000, 0.0000, 0.0000)  6 Cd 2.93, 2 Mg 3.14
Mg (0.0000, 0.0000, 0.2742)  6 Ag 2.84-3.01, 1 Mg 3.14
Mg (0.0000, 0.0000, 0.7258)  6 Ag 2.84-3.01, 1 Mg 3.14
Cd (0.3333, 0.6667, 0.0844)  5 Ag 2.81-2.95, 3 Mg 2.93
Cd (0.6667, 0.3333, 0.9156)  5 Ag 2.81-2.95, 3 Mg 2.93
In (0.3333, 0.6667, 0.5752)  5 Ag 2.81-2.98
In (0.6667, 0.3333, 0.4248)  5 Ag 2.81-2.98
Ag (0.3333, 0.6667, 0.3299)  4 In 2.81-2.98, 1 Cd 2.81, 3 Mg 2.84
Ag (0.3333, 0.6667, 0.8277)  1 In 2.89, 4 Cd 2.94-2.95, 3 Mg 3.01
Ag (0.6667, 0.3333, 0.1723)  1 In 2.89, 4 Cd 2.94-2.95, 3 Mg 3.01
Ag (0.6667, 0.3333, 0.6701)  4 In 2.81-2.98, 1 Cd 2.81, 3 Mg 2.84